[1]
14
Lattice="4.4256 -0.7423 -0.4075 0.7001 4.4325 -0.4075 1.4878 1.0712 14.1319" Properties=species:S:1:pos:R:3 comment="Mg5AlPd PBE optimized geometry" crystal_system=monoclinic spacegroup="C2/m (12)" dos_at_fermi_per_ev_cell=2.72 pbc="T T T"
Mg 3.4958 4.4744 4.9685
Mg 1.2614 2.8655 8.3485
Mg 6.0962 2.4313 12.0345
Mg 1.0721 4.7002 3.1255
Mg 4.2398 5.0098 12.0345
Mg 2.3738 -0.2484 1.2825
Mg 5.5415 0.0611 10.1915
Mg 0.5174 2.3300 1.2825
Mg 5.3521 1.8958 4.9685
Mg 3.1177 0.2870 8.3484
Al 2.9348 2.1129 3.1255
Al 3.6788 2.6484 10.1915
Pd 0.0000 0.0000 0.0000
Pd 0.7439 0.5356 7.0660

=====

[2]
5
Lattice="-1.3678 -3.5313 5.9193 5.1985 -4.4911 -1.4780 3.4924 3.1572 2.6905" Properties=species:S:1:pos:R:3 comment="Cs2KSnAu PBE optimized geometry" relative_energy_mev_per_atom=0 crystal_system=tetragonal spacegroup="P4/mmm (123)" dos_at_fermi_per_ev_cell=4.17 pbc="T T T"
Cs 2.5993 -2.2455 -0.7390
Cs -0.6839 -1.7656 2.9596
K 3.6616 -2.4326 3.5659
Au 0.0000 0.0000 0.0000
Sn 1.7462 1.5786 1.3452

=====

[3]
5
Lattice="5.4800 0.0000 0.0000 0.0000 5.4800 0.0000 0.0000 0.0000 5.4800" Properties=species:S:1:pos:R:3 comment="RbLi3In PBE optimized geometry" relative_energy_mev_per_atom=701 crystal_system=cubic spacegroup="Pm-3m (221)" dos_at_fermi_per_ev_cell=3.31 pbc="T T T"
Li 0.0000 2.7400 0.0000
Li 0.0000 0.0000 2.7400
Li 2.7400 0.0000 0.0000
Rb 0.0000 0.0000 0.0000
In 2.7400 2.7400 2.7400

=====

[4]
4
Lattice="-4.3462 -1.5597 2.1770 -3.4789 -2.5158 -2.7621 -0.8013 -4.9743 0.8222" Properties=species:S:1:pos:R:3 comment="SmTmMgPt PBE optimized geometry" crystal_system=cubic spacegroup="F-43m (216)" dos_at_fermi_per_ev_cell=2.52 pbc="T T T"
Mg -2.1566 -2.2624 0.0593
Tm 0.0000 0.0000 0.0000
Sm -4.3132 -4.5249 0.1186
Pt -6.4698 -6.7873 0.1778

=====

Calculated values (eV/f.u.) of energy for the records, taken in order: -18.5, -10.5, -5.9, -19.1.